# Pa2Cu2HgS6

Crystalline Pa2Cu2HgS6 at its relaxed geometry (PBE, the Alexandria database).

- E_form (uncorrected): -0.9821 eV/atom

Cell lengths 7.1740, 7.7897, 7.8259 Å; angles 125.09, 89.97, 62.60 degrees
Last column: nearest neighbours and their distance in Å.
Element x y z (fractional)
Pa  0.8321  0.3360  0.8384  6 S 2.66-2.69
Pa  0.1679  0.6640  0.1616  6 S 2.66-2.69
Cu  0.1398  0.7218  0.7881  3 S 2.20-2.22
Cu  0.8602  0.2782  0.2119  3 S 2.20-2.22
Hg  0.5000  0.0000  0.5000  2 Cu 3.93, 12 S 3.93-4.02, 6 Pa 4.13-4.16
S  0.4154  0.6772  0.9222  1 Cu 2.22
S  0.0912  0.3240  0.0791  1 Cu 2.22
S  0.0870  0.8272  0.5765  1 Cu 2.20
S  0.9088  0.6760  0.9209  1 Cu 2.22
S  0.9130  0.1728  0.4235  1 Cu 2.20
S  0.5846  0.3228  0.0778  1 Cu 2.22